No. 1
Here is a relaxed structure of HoPuSe2Cl from Alexandria. Energies are from PBE.

## Properties
raw formation energy = -1.67 eV per atom
DFT total energy = -7.22 eV/atom
DOS at the Fermi energy = 2.42 states/eV per atom

The structure in extended XYZ format:
```
10
Lattice="4.180 0.000 0.000 0.000 4.180 0.000 0.000 0.000 14.044" Properties=species:S:1:pos:R:3 pbc="T T T"
Ho 1.045 1.045 1.428
Ho 3.135 3.135 12.616
Pu 1.045 1.045 9.034
Pu 3.135 3.135 5.010
Se 1.045 1.045 4.179
Se 1.045 1.045 12.545
Se 3.135 3.135 1.499
Se 3.135 3.135 9.866
Cl 1.045 3.135 7.022
Cl 3.135 1.045 7.022
```



No. 2
Here is a relaxed structure of Pm3Pr4TmSe8 from Alexandria. Energies are from PBE.

## Properties
raw formation energy = -1.81 eV per atom
DFT total energy = -5.92 eV/atom
DOS at the Fermi energy = 0.63 states/eV per atom

The structure in extended XYZ format:
```
16
Lattice="4.195 2.422 6.934 -4.195 2.422 6.934 0.000 -4.843 6.934" Properties=species:S:1:pos:R:3 pbc="T T T"
Pm -2.097 -1.211 6.934
Pm -2.097 1.211 13.868
Pm 0.000 2.422 6.934
Pr -4.195 0.000 10.401
Pr -2.097 1.211 3.467
Pr 2.097 1.211 3.467
Pr 0.000 0.000 10.401
Tm 0.000 0.000 0.000
Se 0.000 -2.486 8.579
Se -2.153 1.243 8.579
Se -2.153 -1.243 12.223
Se 0.000 0.000 5.245
Se 0.000 0.000 15.558
Se 2.153 1.243 8.579
Se 2.153 -1.243 12.223
Se 0.000 2.486 12.223
```



No. 3
Here is a relaxed structure of MnNb2Ga3 from Alexandria. Energies are from PBE.

## Properties
ΔH_f (0 K) = -0.27 eV/atom
DFT total energy = -6.67 eV/atom
excess energy over the best structure of this formula in the dataset = 0.000 eV/atom
DOS at the Fermi energy = 0.64 states/eV per atom

The structure in extended XYZ format:
```
6
Lattice="2.559 1.477 4.048 -2.559 1.477 4.048 0.000 -2.955 4.048" Properties=species:S:1:pos:R:3 pbc="T T T"
Mn 0.000 0.000 0.000
Nb 0.000 0.000 4.564
Nb 0.000 0.000 7.581
Ga -2.559 0.000 6.072
Ga -1.279 0.739 2.024
Ga 1.279 0.739 2.024
```



No. 4
Here is a relaxed structure of Y4MgAl12 from Alexandria. Energies are from PBE.

## Properties
ΔH_f (0 K) = -0.37 eV/atom
DFT total energy = -4.62 eV/atom
DOS at the Fermi energy = 0.29 states/eV per atom

The structure in extended XYZ format:
```
17
Lattice="-4.404 4.404 4.404 4.404 -4.404 4.404 4.404 4.404 -4.404" Properties=species:S:1:pos:R:3 pbc="T T T"
Y 2.202 2.202 -2.202
Y 2.202 -2.202 2.202
Y -2.202 2.202 2.202
Y 2.202 2.202 2.202
Mg 0.000 0.000 0.000
Al 2.776 0.000 0.000
Al 6.033 0.000 0.000
Al 4.404 2.202 0.000
Al 4.404 0.000 2.202
Al 0.000 2.776 0.000
Al 0.000 0.000 2.776
Al 2.202 4.404 0.000
Al 2.202 0.000 4.404
Al 0.000 6.033 0.000
Al 0.000 0.000 6.033
Al 0.000 4.404 2.202
Al 0.000 2.202 4.404
```



No. 5
Here is a relaxed structure of SrBiOs2Pt from Alexandria. Energies are from PBE.

## Properties
ΔH_f (0 K) = 2.65 eV/atom
DFT total energy = -4.16 eV/atom
DOS at the Fermi energy = 1.42 states/eV per atom

The structure in extended XYZ format:
```
5
Lattice="4.929 0.000 0.000 0.000 4.929 0.000 0.000 0.000 5.207" Properties=species:S:1:pos:R:3 pbc="T T T"
Sr 0.000 0.000 0.000
Bi 2.465 2.465 2.603
Os 0.000 2.465 0.000
Os 2.465 0.000 0.000
Pt 0.000 0.000 2.603
```



No. 6
Here is a relaxed structure of CrSb3 from Alexandria. Energies are from PBE.

## Properties
raw formation energy = 0.40 eV per atom
DFT total energy = -5.10 eV/atom
excess energy over the best structure of this formula in the dataset = 0.233 eV/atom
DOS at the Fermi energy = 0.55 states/eV per atom

The structure in extended XYZ format:
```
4
Lattice="5.232 0.000 0.000 0.000 5.232 0.000 0.000 0.000 3.572" Properties=species:S:1:pos:R:3 pbc="T T T"
Cr 0.000 0.000 0.000
Sb 0.000 2.616 1.786
Sb 2.616 0.000 1.786
Sb 2.616 2.616 0.000
```



No. 7
Here is a relaxed structure of Sm7TlBr12 from Alexandria. Energies are from PBE.

## Properties
raw formation energy = -1.52 eV per atom
DFT total energy = -4.29 eV/atom
DOS at the Fermi energy = 0.24 states/eV per atom

The structure in extended XYZ format:
```
20
Lattice="7.785 4.494 3.173 -7.785 4.494 3.173 0.000 -8.989 3.173" Properties=species:S:1:pos:R:3 pbc="T T T"
Sm 0.000 0.000 0.000
Sm -2.295 -0.631 2.946
Sm 1.694 -1.672 2.945
Sm 0.601 2.303 2.945
Sm -0.601 -2.303 6.574
Sm -1.694 1.672 6.574
Sm 2.295 0.631 6.574
Tl 0.000 0.000 4.760
Br -0.674 -2.564 1.437
Br -1.884 1.865 1.437
Br -2.919 -2.965 4.730
Br -4.027 1.045 4.789
Br 2.557 0.699 1.437
Br 1.108 -4.010 4.789
Br -1.108 4.010 4.730
Br -2.557 -0.699 8.082
Br 4.027 -1.045 4.730
Br 2.919 2.965 4.789
Br 1.884 -1.865 8.082
Br 0.674 2.564 8.082
```



No. 8
Here is a relaxed structure of LiLaTeCl from Alexandria. Energies are from PBE.

## Properties
raw formation energy = -1.50 eV per atom
DFT total energy = -4.45 eV/atom
DOS at the Fermi energy = 0.76 states/eV per atom

The structure in extended XYZ format:
```
8
Lattice="2.191 1.265 14.033 -2.191 1.265 14.033 0.000 -2.530 14.033" Properties=species:S:1:pos:R:3 pbc="T T T"
Li 0.000 0.000 8.003
Li 0.000 0.000 34.096
La 0.000 0.000 17.115
La 0.000 0.000 24.983
Te 0.000 0.000 5.119
Te 0.000 0.000 36.980
Cl 0.000 0.000 12.502
Cl 0.000 0.000 29.596
```



No. 9
Here is a relaxed structure of Pr4Nd5Tm2 from Alexandria. Energies are from PBE.

## Properties
ΔH_f (0 K) = 0.16 eV/atom
DFT total energy = -4.56 eV/atom
excess energy over the best structure of this formula in the dataset = 0.000 eV/atom
DOS at the Fermi energy = 1.57 states/eV per atom

The structure in extended XYZ format:
```
11
Lattice="8.944 -1.754 0.000 8.944 1.754 0.000 -0.809 0.000 12.292" Properties=species:S:1:pos:R:3 pbc="T T T"
Pr 0.577 0.000 3.316
Pr 4.545 0.000 7.801
Pr 12.533 0.000 4.491
Pr 16.501 0.000 8.976
Nd 1.757 0.000 10.058
Nd 3.330 0.000 1.154
Nd 8.944 0.000 0.000
Nd 13.748 0.000 11.138
Nd 15.321 0.000 2.234
Tm 1.229 0.000 6.631
Tm 15.849 0.000 5.661
```



No. 10
Here is a relaxed structure of KCuAs3 from Alexandria. Energies are from PBE.

## Properties
ΔH_f (0 K) = 0.26 eV/atom
DFT total energy = -3.57 eV/atom
excess energy over the best structure of this formula in the dataset = 0.000 eV/atom
DOS at the Fermi energy = 0.61 states/eV per atom

The structure in extended XYZ format:
```
5
Lattice="4.900 0.000 0.000 0.000 4.900 0.000 0.000 0.000 4.900" Properties=species:S:1:pos:R:3 pbc="T T T"
K 0.000 0.000 0.000
Cu 2.450 2.450 2.450
As 0.000 2.450 2.450
As 2.450 0.000 2.450
As 2.450 2.450 0.000
```



No. 11
Here is a relaxed structure of Cu3C5 from Alexandria. Energies are from PBE.

## Properties
ΔH_f (0 K) = 1.22 eV/atom
DFT total energy = -6.08 eV/atom
excess energy over the best structure of this formula in the dataset = 0.124 eV/atom
DOS at the Fermi energy = 0.26 states/eV per atom

The structure in extended XYZ format:
```
16
Lattice="6.642 0.000 0.000 0.000 4.903 0.000 -3.069 0.000 6.157" Properties=species:S:1:pos:R:3 pbc="T T T"
Cu 0.000 0.000 0.000
Cu -2.609 2.452 5.481
Cu 0.738 0.000 3.296
Cu 2.353 2.452 3.849
Cu 3.722 0.000 2.146
Cu 4.958 2.452 1.638
C -0.814 0.652 1.896
C -0.814 4.251 1.896
C -1.212 0.000 5.754
C 1.718 2.452 0.695
C -0.025 0.000 5.069
C 1.795 2.452 2.048
C 3.110 0.000 0.292
C 3.011 2.452 1.276
C 2.752 0.645 4.120
C 2.752 4.259 4.120
```



No. 12
Here is a relaxed structure of TbURuRh from Alexandria. Energies are from PBE.

## Properties
ΔH_f (0 K) = -0.37 eV/atom
DFT total energy = -8.50 eV/atom
DOS at the Fermi energy = 2.00 states/eV per atom

The structure in extended XYZ format:
```
4
Lattice="0.000 3.412 3.412 3.412 0.000 3.412 3.412 3.412 0.000" Properties=species:S:1:pos:R:3 pbc="T T T"
Tb 0.000 0.000 0.000
U 3.412 3.412 3.412
Ru 1.706 1.706 1.706
Rh 5.118 5.118 5.118
```



No. 13
Here is a relaxed structure of NdEuCuAu from Alexandria. Energies are from PBE.

## Properties
ΔH_f (0 K) = -0.44 eV/atom
DFT total energy = -6.04 eV/atom
DOS at the Fermi energy = 2.09 states/eV per atom

The structure in extended XYZ format:
```
4
Lattice="0.000 3.676 3.676 3.676 0.000 3.676 3.676 3.676 0.000" Properties=species:S:1:pos:R:3 pbc="T T T"
Nd 0.000 0.000 0.000
Eu 3.676 3.676 3.676
Cu 1.838 1.838 1.838
Au 5.513 5.513 5.513
```